## Tb4Pm3Ho5 (PBE)

Data for a relaxed structure of Tb4Pm3Ho5.

Unit cell a=5.913 b=8.525 c=9.666 alpha=105.89 beta=72.19 gamma=69.71
Fractional coordinates of all 12 atoms:
Tb1 0.860 0.222 0.058
Tb2 0.169 0.041 0.622
Tb3 0.831 0.959 0.378
Tb4 0.140 0.778 0.942
Pm1 0.523 0.686 0.269
Pm2 0.000 0.500 0.500
Pm3 0.477 0.314 0.731
Ho1 0.624 0.949 0.803
Ho2 0.500 0.500 0.500
Ho3 0.215 0.457 0.112
Ho4 0.785 0.543 0.888
Ho5 0.376 0.051 0.197

**Energy of formation**: 0.23 eV/atom
**DFT total energy**: -4.41 eV per atom
**Size of the total moment**: 0.21 Bohr magnetons per cell
**ΔE to the lowest computed polymorph**: 0.216 eV/atom

## Tb4Pm5Ho (PBE)

Data for a relaxed structure of Tb4Pm5Ho.

Unit cell a=6.056 b=8.076 c=8.076 alpha=81.92 beta=67.98 gamma=67.98
Fractional coordinates of all 10 atoms:
Tb1 0.443 0.325 0.675
Tb2 0.768 0.675 0.675
Tb3 0.118 0.325 0.325
Tb4 0.443 0.675 0.325
Pm1 0.768 0.378 0.000
Pm2 0.147 0.000 0.622
Pm3 0.768 0.000 0.378
Pm4 0.146 0.622 0.000
Pm5 0.688 0.000 0.000
Ho1 0.220 0.000 0.000

**Energy of formation**: 0.26 eV/atom
**DFT total energy**: -4.43 eV per atom
**Size of the total moment**: 0.00 Bohr magnetons per cell
**ΔE to the lowest computed polymorph**: 0.109 eV/atom

## TbPm2Ho8 (PBE)

Data for a relaxed structure of TbPm2Ho8.

Unit cell a=5.511 b=8.074 c=9.350 alpha=115.58 beta=107.14 gamma=90.00
Fractional coordinates of all 11 atoms:
Tb1 0.500 0.000 0.000
Pm1 0.201 0.701 0.402
Pm2 0.799 0.299 0.598
Ho1 0.637 0.846 0.275
Ho2 0.363 0.571 0.725
Ho3 0.160 0.160 0.320
Ho4 0.000 0.292 0.000
Ho5 0.840 0.840 0.680
Ho6 0.637 0.429 0.275
Ho7 0.363 0.154 0.725
Ho8 0.000 0.708 0.000

**Energy of formation**: 0.12 eV/atom
**DFT total energy**: -4.50 eV per atom
**Size of the total moment**: 0.00 Bohr magnetons per cell
**ΔE to the lowest computed polymorph**: 0.096 eV/atom

## Tb2Pm3Ho8 (PBE)

Data for a relaxed structure of Tb2Pm3Ho8.

Unit cell a=6.918 b=9.465 c=9.465 alpha=57.71 beta=61.25 gamma=61.25
Fractional coordinates of all 13 atoms:
Tb1 0.491 0.216 0.216
Tb2 0.509 0.784 0.784
Pm1 0.500 0.000 0.000
Pm2 0.000 0.176 0.824
Pm3 0.000 0.824 0.176
Ho1 0.065 0.584 0.584
Ho2 0.935 0.416 0.416
Ho3 0.013 0.192 0.192
Ho4 0.987 0.808 0.808
Ho5 0.561 0.562 0.200
Ho6 0.561 0.200 0.562
Ho7 0.439 0.800 0.438
Ho8 0.439 0.438 0.800

**Energy of formation**: 0.24 eV/atom
**DFT total energy**: -4.39 eV per atom
**Size of the total moment**: 0.00 Bohr magnetons per cell
**ΔE to the lowest computed polymorph**: 0.000 eV/atom

## Tb9Pm4Ho11 (PBE)

Data for a relaxed structure of Tb9Pm4Ho11.

Unit cell a=3.689 b=15.070 c=15.070 alpha=112.77 beta=90.00 gamma=90.00
Fractional coordinates of all 24 atoms:
Tb1 0.500 0.634 0.162
Tb2 0.500 0.366 0.838
Tb3 0.500 0.162 0.634
Tb4 0.500 0.838 0.366
Tb5 0.500 0.788 0.934
Tb6 0.500 0.212 0.066
Tb7 0.500 0.934 0.788
Tb8 0.500 0.066 0.212
Tb9 0.500 0.500 0.500
Pm1 0.500 0.554 0.755
Pm2 0.500 0.446 0.245
Pm3 0.500 0.755 0.554
Pm4 0.500 0.245 0.446
Ho1 0.000 0.593 0.955
Ho2 0.000 0.407 0.045
Ho3 0.000 0.955 0.593
Ho4 0.000 0.045 0.407
Ho5 0.000 0.635 0.365
Ho6 0.000 0.365 0.635
Ho7 0.000 0.841 0.159
Ho8 0.000 0.159 0.841
Ho9 0.000 0.000 0.000
Ho10 0.000 0.712 0.712
Ho11 0.000 0.288 0.288

**Energy of formation**: 0.06 eV/atom
**DFT total energy**: -4.57 eV per atom
**Size of the total moment**: 0.00 Bohr magnetons per cell

## Tb5PmHo (PBE)

Data for a relaxed structure of Tb5PmHo.

Unit cell a=6.778 b=6.778 c=13.639 alpha=61.98 beta=61.98 gamma=59.79
Fractional coordinates of all 14 atoms:
Tb1 0.158 0.395 0.755
Tb2 0.657 0.686 0.499
Tb3 0.395 0.158 0.255
Tb4 0.160 0.840 0.750
Tb5 0.314 0.343 0.001
Tb6 0.686 0.657 0.999
Tb7 0.840 0.160 0.250
Tb8 0.605 0.842 0.745
Tb9 0.343 0.314 0.501
Tb10 0.842 0.605 0.245
Pm1 0.720 0.280 0.750
Pm2 0.280 0.720 0.250
Ho1 0.000 0.000 0.000
Ho2 0.000 0.000 0.500

**Energy of formation**: 0.19 eV/atom
**DFT total energy**: -4.45 eV per atom
**Size of the total moment**: 0.00 Bohr magnetons per cell
**ΔE to the lowest computed polymorph**: 0.000 eV/atom

## Tb5PmHo6 (PBE)

Data for a relaxed structure of Tb5PmHo6.

Unit cell a=10.129 b=10.129 c=5.777 alpha=106.56 beta=106.56 gamma=124.83
Fractional coordinates of all 12 atoms:
Tb1 0.847 0.153 0.500
Tb2 0.653 0.347 0.000
Tb3 0.500 0.500 0.500
Tb4 0.347 0.653 0.000
Tb5 0.153 0.847 0.500
Ho1 0.431 0.068 0.250
Ho2 0.932 0.569 0.750
Ho3 0.250 0.250 0.750
Ho4 0.750 0.750 0.250
Ho5 0.068 0.431 0.250
Ho6 0.569 0.932 0.750
Pm1 0.000 0.000 0.000

**Energy of formation**: 0.11 eV/atom
**DFT total energy**: -4.50 eV per atom
**Size of the total moment**: 0.00 Bohr magnetons per cell
**ΔE to the lowest computed polymorph**: 0.096 eV/atom

## Tb3Pm2Ho (PBE)

Data for a relaxed structure of Tb3Pm2Ho.

Unit cell a=5.672 b=9.005 c=9.763 alpha=122.70 beta=90.00 gamma=108.36
Fractional coordinates of all 12 atoms:
Tb1 0.250 0.501 0.591
Tb2 0.002 0.003 0.669
Tb3 0.624 0.248 0.618
Tb4 0.376 0.752 0.382
Tb5 0.998 0.997 0.331
Tb6 0.750 0.499 0.409
Pm1 0.502 0.004 0.836
Pm2 0.498 0.996 0.164
Pm3 0.750 0.499 0.073
Pm4 0.250 0.501 0.927
Ho1 0.875 0.750 0.868
Ho2 0.125 0.250 0.132

**Energy of formation**: 0.06 eV/atom
**DFT total energy**: -4.60 eV per atom
**Size of the total moment**: 0.00 Bohr magnetons per cell
**ΔE to the lowest computed polymorph**: 0.000 eV/atom

## Tb6Pm5Ho (PBE)

Data for a relaxed structure of Tb6Pm5Ho.

Unit cell a=5.083 b=10.158 c=9.511 alpha=122.28 beta=105.52 gamma=90.00
Fractional coordinates of all 12 atoms:
Tb1 0.834 0.585 0.667
Tb2 0.834 0.083 0.667
Tb3 0.500 0.751 0.000
Tb4 0.500 0.249 0.000
Tb5 0.166 0.917 0.333
Tb6 0.166 0.415 0.333
Ho1 0.000 0.000 0.000
Pm1 0.666 0.166 0.331
Pm2 0.333 0.333 0.667
Pm3 0.000 0.500 0.000
Pm4 0.667 0.667 0.333
Pm5 0.334 0.834 0.669

**Energy of formation**: 0.02 eV/atom
**DFT total energy**: -4.66 eV per atom
**Size of the total moment**: 0.00 Bohr magnetons per cell

## Tb2PmHo2 (PBE)

Data for a relaxed structure of Tb2PmHo2.

Unit cell a=6.432 b=6.432 c=11.652 alpha=95.87 beta=95.87 gamma=128.99
Fractional coordinates of all 10 atoms:
Tb1 0.418 0.582 0.500
Tb2 0.168 0.832 0.000
Tb3 0.082 0.918 0.500
Tb4 0.832 0.168 0.000
Pm1 0.750 0.250 0.500
Pm2 0.500 0.500 0.000
Ho1 0.125 0.375 0.750
Ho2 0.625 0.375 0.250
Ho3 0.625 0.375 0.750
Ho4 0.625 0.875 0.250

**Energy of formation**: 0.50 eV/atom
**DFT total energy**: -4.13 eV per atom
**Size of the total moment**: 0.00 Bohr magnetons per cell
**ΔE to the lowest computed polymorph**: 0.418 eV/atom

## Tb4Pm2Ho5 (PBE)

Data for a relaxed structure of Tb4Pm2Ho5.

Unit cell a=3.495 b=9.049 c=12.548 alpha=111.14 beta=98.01 gamma=90.00
Fractional coordinates of all 11 atoms:
Tb1 0.000 0.306 0.000
Tb2 0.597 0.597 0.194
Tb3 0.000 0.694 0.000
Tb4 0.403 0.403 0.806
Pm1 0.268 0.268 0.536
Pm2 0.732 0.732 0.464
Ho1 0.857 0.053 0.715
Ho2 0.857 0.662 0.715
Ho3 0.143 0.338 0.285
Ho4 0.143 0.947 0.285
Ho5 0.500 0.000 0.000

**Energy of formation**: 0.22 eV/atom
**DFT total energy**: -4.40 eV per atom
**Size of the total moment**: 0.00 Bohr magnetons per cell
**ΔE to the lowest computed polymorph**: 0.206 eV/atom

## Tb3Pm2Ho8 (PBE)

Data for a relaxed structure of Tb3Pm2Ho8.

Unit cell a=3.495 b=11.702 c=20.610 alpha=90.00 beta=90.00 gamma=90.00
Fractional coordinates of all 26 atoms:
Tb1 0.000 0.000 0.000
Tb2 0.000 0.500 0.500
Tb3 0.000 0.645 0.201
Tb4 0.000 0.355 0.799
Tb5 0.000 0.145 0.299
Tb6 0.000 0.855 0.701
Pm1 0.500 0.820 0.098
Pm2 0.500 0.180 0.902
Pm3 0.500 0.320 0.402
Pm4 0.500 0.680 0.598
Ho1 0.000 0.707 0.946
Ho2 0.000 0.293 0.054
Ho3 0.000 0.207 0.554
Ho4 0.000 0.793 0.446
Ho5 0.000 0.053 0.158
Ho6 0.000 0.947 0.842
Ho7 0.000 0.553 0.342
Ho8 0.000 0.447 0.658
Ho9 0.500 0.872 0.286
Ho10 0.500 0.128 0.714
Ho11 0.500 0.372 0.214
Ho12 0.500 0.628 0.786
Ho13 0.500 0.545 0.071
Ho14 0.500 0.455 0.929
Ho15 0.500 0.045 0.429
Ho16 0.500 0.955 0.571

**Energy of formation**: 0.16 eV/atom
**DFT total energy**: -4.46 eV per atom
**Size of the total moment**: 0.00 Bohr magnetons per cell
**ΔE to the lowest computed polymorph**: 0.000 eV/atom